# 1
First-principles (PBE-GGA) data for KRb2AuF6 after structural relaxation, as listed in Alexandria.

Calculated values
Space group ... R-3m
V ... 438 Å³/cell
E_form (uncorrected) ... -20.59 eV per formula unit

Unit cell a=6.344 b=6.344 c=13.081 alpha=75.97 beta=75.97 gamma=60.00
Atoms (fractional coordinates):
1 F 0.805 0.805 0.096
2 F 0.375 0.375 0.399
3 F 0.375 0.851 0.399
4 F 0.625 0.625 0.601
5 F 0.851 0.375 0.399
6 F 0.805 0.293 0.096
7 F 0.707 0.195 0.904
8 F 0.195 0.195 0.904
9 F 0.195 0.707 0.904
10 F 0.625 0.149 0.601
11 F 0.149 0.625 0.601
12 F 0.293 0.805 0.096
13 Rb 0.694 0.694 0.918
14 Rb 0.857 0.857 0.428
15 Rb 0.306 0.306 0.082
16 Rb 0.143 0.143 0.572
17 K 0.588 0.588 0.236
18 K 0.412 0.412 0.764
19 Au 0.000 0.000 0.000
20 Au 0.500 0.500 0.500

=====

# 2
First-principles (PBE-GGA) data for K4RbAu3F12 after structural relaxation, as listed in Alexandria.

Calculated values
Space group ... Im-3
V ... 404 Å³/cell
E_form (uncorrected) ... -38.43 eV per formula unit

Unit cell a=8.066 b=8.066 c=8.066 alpha=109.47 beta=109.47 gamma=109.47
Atoms (fractional coordinates):
1 F 0.853 0.521 0.668
2 F 0.853 0.185 0.332
3 F 0.332 0.147 0.479
4 F 0.521 0.668 0.853
5 F 0.147 0.815 0.668
6 F 0.815 0.668 0.147
7 F 0.147 0.479 0.332
8 F 0.668 0.147 0.815
9 F 0.185 0.332 0.853
10 F 0.668 0.853 0.521
11 F 0.332 0.853 0.185
12 F 0.479 0.332 0.147
13 K 0.000 0.500 0.000
14 K 0.500 0.500 0.500
15 K 0.000 0.000 0.500
16 K 0.500 0.000 0.000
17 Au 0.500 0.500 0.000
18 Au 0.500 0.000 0.500
19 Au 0.000 0.500 0.500
20 Rb 0.000 0.000 0.000

=====

# 3
First-principles (PBE-GGA) data for KRb2AuF6 after structural relaxation, as listed in Alexandria.

Calculated values
Space group ... Fm-3m
V ... 202 Å³/cell
E_form (uncorrected) ... -20.76 eV per formula unit

Unit cell a=6.590 b=6.590 c=6.590 alpha=60.00 beta=60.00 gamma=60.00
Atoms (fractional coordinates):
1 Rb 0.750 0.750 0.750
2 Rb 0.250 0.250 0.250
3 F 0.230 0.770 0.230
4 F 0.770 0.770 0.230
5 F 0.230 0.770 0.770
6 F 0.770 0.230 0.770
7 F 0.770 0.230 0.230
8 F 0.230 0.230 0.770
9 Au 0.000 0.000 0.000
10 K 0.500 0.500 0.500